An optimized crystal structure of TlRhSe2. Source: Alexandria, functional PBE-GGA.

```
4
Lattice="-1.788 3.024 4.660 1.788 -3.024 4.660 1.788 3.024 -4.660" Properties=species:S:1:pos:R:3 pbc="T T T"
Tl 0.000 0.000 0.000
Rh 0.000 0.000 4.660
Se 1.788 0.000 3.013
Se 0.000 3.024 1.647
```

## Properties
V	25.19	A^3/atom
E	-4.281	eV/atom
E_form (uncorrected)	-0.110	eV per atom
Fermi-level density of states	2.33	states/eV/cell